Entry 1:
A plane-wave DFT calculation with PBEsol was carried out for an optimized crystal structure of Ac2GePd.

Its formation energy is -0.65 eV per atom. The total energy comes out at -89.99 eV per cell.

The structure belongs to space group Fm-3m (No. 225); the cell edges are 7.591, 7.591 and 7.591 Å and the angles 90.00°, 90.00° and 90.00°. The inequivalent atoms are Ac at (0.250, 0.250, 0.250), Ge at (0.000, 0.000, 0.000) and Pd at (0.000, 0.000, 0.500).

***

Entry 2:
A plane-wave DFT calculation with PBEsol was carried out for an optimized crystal structure of AcH2.

The total energy comes out at -51.47 eV per cell.

The structure belongs to space group Fm-3m (No. 225); the cell edges are 5.817, 5.817 and 5.817 Å and the angles 90.00°, 90.00° and 90.00°. The inequivalent atoms are Ac at (0.000, 0.000, 0.000) and H at (0.250, 0.250, 0.250).

***

Entry 3:
A plane-wave DFT calculation with PBEsol was carried out for an optimized crystal structure of AcHg3.

Its formation energy is -0.49 eV per atom. The total energy comes out at -16.30 eV per cell.

The structure belongs to space group P6_3/mmc (No. 194); the cell edges are 6.9795, 6.9795 and 5.0308 Å and the angles 90.00°, 90.00° and 120.00°. The inequivalent atoms are Ac at (0.3333, 0.6667, 0.2500) and Hg at (0.1546, 0.3091, 0.7500).

***

Entry 4:
A plane-wave DFT calculation with PBEsol was carried out for an optimized crystal structure of NaAcHg2.

Its formation energy is -0.42 eV per atom. The total energy comes out at -34.95 eV per cell.

The structure belongs to space group Fm-3m (No. 225); the cell edges are 7.620, 7.620 and 7.620 Å and the angles 90.00°, 90.00° and 90.00°. The inequivalent atoms are Na at (0.000, 0.000, 0.000), Ac at (0.000, 0.000, 0.500) and Hg at (0.250, 0.250, 0.250).

***

Entry 5:
A plane-wave DFT calculation with PBEsol was carried out for an optimized crystal structure of AcHgRh2.

Its formation energy is -0.29 eV per atom. The total energy comes out at -90.00 eV per cell.

The structure belongs to space group Fm-3m (No. 225); the cell edges are 6.811, 6.811 and 6.811 Å and the angles 90.00°, 90.00° and 90.00°. The inequivalent atoms are Ac at (0.000, 0.000, 0.000), Hg at (0.000, 0.000, 0.500) and Rh at (0.250, 0.250, 0.250).

***

Entry 6:
A plane-wave DFT calculation with PBEsol was carried out for an optimized crystal structure of Ac2SnHg.

Its formation energy is -0.60 eV per atom. The total energy comes out at -64.91 eV per cell.

The structure belongs to space group Fm-3m (No. 225); the cell edges are 7.998, 7.998 and 7.998 Å and the angles 90.00°, 90.00° and 90.00°. The inequivalent atoms are Ac at (0.250, 0.250, 0.250), Sn at (0.000, 0.000, 0.000) and Hg at (0.000, 0.000, 0.500).

***

Entry 7:
A plane-wave DFT calculation with PBEsol was carried out for an optimized crystal structure of Ac3Ho.

Its formation energy is 0.06 eV per atom. The total energy comes out at -36.48 eV per cell.

The structure belongs to space group P6_3/mmc (No. 194); the cell edges are 7.6589, 7.6589 and 6.1207 Å and the angles 90.00°, 90.00° and 120.00°. The inequivalent atoms are Ac at (0.1695, 0.3390, 0.2500) and Ho at (0.3333, 0.6667, 0.7500).

***

Entry 8:
A plane-wave DFT calculation with PBEsol was carried out for an optimized crystal structure of NaAcIn2.

Its formation energy is -0.30 eV per atom. The total energy comes out at -52.23 eV per cell.

The structure belongs to space group Fm-3m (No. 225); the cell edges are 7.787, 7.787 and 7.787 Å and the angles 90.00°, 90.00° and 90.00°. The inequivalent atoms are Na at (0.000, 0.000, 0.000), Ac at (0.000, 0.000, 0.500) and In at (0.250, 0.250, 0.250).